No. 1
Here is an optimized crystal structure of BaN2O from Alexandria via LeMat-Bulk. Energies are from PBE.

ΔE_f (raw)   1.24 eV/atom
Calculated volume   14.12 Å³/atom

abc: 3.7728 3.7728 13.7417
angles: 90.00 90.00 120.00
Last column: nearest neighbours and their distance in Å.
Space group R-3m (No. 166, hexagonal axes)
Symmetry-distinct sites (fractional):
Ba: 0.0000 0.0000 0.0000 x3  2 N 2.60
N: 0.0000 0.0000 0.1893 x6  3 O 2.20, 3 N 2.27
O: 0.0000 0.0000 0.5000 x3  6 N 2.20

No. 2
Here is an optimized crystal structure of Ba5N2O2 from Alexandria via LeMat-Bulk. Energies are from PBE.

ΔE_f (raw)   -1.11 eV/atom
Calculated volume   30.23 Å³/atom

abc: 19.6275 4.0974 7.0046
angles: 90.00 104.98 90.00
Last column: nearest neighbours and their distance in Å.
Space group C2/m (No. 12)
Symmetry-distinct sites (fractional):
Ba: 0.0000 0.0000 0.0000 x2  2 N 2.88, 4 O 2.95
Ba: 0.1087 0.0000 0.5169 x4  1 N 2.55, 2 O 2.61
Ba: 0.1779 0.5000 0.0958 x4  2 N 2.53, 1 O 2.65
N: 0.1320 0.0000 0.8923 x4  3 Ba 2.53-2.55
O: 0.0753 0.5000 0.2794 x4  3 Ba 2.61-2.65

No. 3
Here is an optimized crystal structure of Ba4NO from Alexandria via LeMat-Bulk. Energies are from PBE.

ΔE_f (raw)   -0.98 eV/atom
Calculated volume   46.17 Å³/atom

abc: 8.7261 11.3398 11.1981
angles: 90.00 90.00 90.00
Last column: nearest neighbours and their distance in Å.
Space group Imma (No. 74)
Symmetry-distinct sites (fractional):
Ba: 0.0000 0.0838 0.2468 x8  1 N 2.53, 1 O 2.55
Ba: 0.2505 0.2500 0.5249 x8  1 N 2.57, 1 O 2.59
N: 0.0000 0.2500 0.0964 x4  4 Ba 2.53-2.57
O: 0.0000 0.2500 0.4007 x4  4 Ba 2.55-2.59

No. 4
Here is an optimized crystal structure of Ba4NO3 from Alexandria via LeMat-Bulk. Energies are from PBE.

ΔE_f (raw)   -1.83 eV/atom
Calculated volume   22.50 Å³/atom

abc: 5.5922 5.5922 11.5111
angles: 90.00 90.00 90.00
Last column: nearest neighbours and their distance in Å.
Space group I4/mmm (No. 139)
Symmetry-distinct sites (fractional):
Ba: 0.0000 0.0000 0.2425 x4  5 O 2.79-2.80, 1 N 2.96
Ba: 0.0000 0.5000 0.0000 x4  4 O 2.80-2.88, 2 N 2.80
N: 0.0000 0.0000 0.5000 x2  6 Ba 2.80-2.96
O: 0.0000 0.0000 0.0000 x2  6 Ba 2.79-2.80
O: 0.0000 0.5000 0.2500 x4  6 Ba 2.80-2.88

No. 5
Here is an optimized crystal structure of BaN2O2 from Alexandria via LeMat-Bulk. Energies are from PBE.

ΔE_f (raw)   1.59 eV/atom
Calculated volume   29.88 Å³/atom

abc: 4.9360 4.9360 6.1328
angles: 90.00 90.00 90.00
Last column: nearest neighbours and their distance in Å.
Space group P4/mmm (No. 123)
Symmetry-distinct sites (fractional):
Ba: 0.0000 0.0000 0.0000 x1  4 O 2.47
N: 0.0000 0.0000 0.5000 x1  2 Ba 3.07
N: 0.5000 0.5000 0.5000 x1  4 N 3.49
O: 0.0000 0.5000 0.0000 x2  2 Ba 2.47

No. 6
Here is an optimized crystal structure of BaN2O2 from Alexandria via LeMat-Bulk. Energies are from PBE.

ΔE_f (raw)   1.09 eV/atom
Calculated volume   13.86 Å³/atom

abc: 3.9192 3.9192 4.5125
angles: 90.00 90.00 90.00
Last column: nearest neighbours and their distance in Å.
Space group P4/mmm (No. 123)
Symmetry-distinct sites (fractional):
Ba: 0.0000 0.0000 0.0000 x1  4 O 2.77, 8 N 2.99
N: 0.0000 0.5000 0.5000 x2  2 O 1.96
O: 0.5000 0.5000 0.0000 x1  2 O 2.26
O: 0.5000 0.5000 0.5000 x1  4 N 1.96

No. 7
Here is an optimized crystal structure of Ba8N4O from Alexandria via LeMat-Bulk. Energies are from PBE.

ΔE_f (raw)   -0.71 eV/atom
Calculated volume   31.93 Å³/atom

abc: 19.3044 4.0109 14.1626
angles: 90.00 130.80 90.00
Last column: nearest neighbours and their distance in Å.
Space group Cm (No. 8)
Symmetry-distinct sites (fractional):
Ba: 0.0000 0.0000 0.0000 x2  3 N 2.69-2.82
Ba: 0.0029 0.0000 0.5188 x2  3 N 2.69-2.72
Ba: 0.0171 0.5000 0.7695 x2  3 N 2.65-2.76
Ba: 0.1761 0.0000 0.3367 x2  3 N 2.68-2.74
Ba: 0.1930 0.5000 0.5897 x2  3 N 2.67-2.77
Ba: 0.2208 0.5000 0.1099 x2  1 O 2.59, 2 N 2.72
Ba: 0.2326 0.0000 0.8834 x2  2 O 2.80, 3 N 2.89-3.02
Ba: 0.4622 0.0000 0.2215 x2  1 N 2.69, 2 O 2.84
N: 0.0721 0.5000 0.1667 x2  5 Ba 2.69-2.74
N: 0.0932 0.0000 0.4313 x2  4 Ba 2.67-2.72
N: 0.1028 0.5000 0.6812 x2  4 Ba 2.65-2.77
N: 0.1158 0.0000 0.9442 x2  6 Ba 2.72-2.89
O: 0.3306 0.5000 0.0639 x2  5 Ba 2.59-2.84

No. 8
Here is an optimized crystal structure of Ba4NO from Alexandria via LeMat-Bulk. Energies are from PBE.

ΔE_f (raw)   -0.90 eV/atom
Calculated volume   40.78 Å³/atom

abc: 9.7648 10.7921 9.2877
angles: 90.00 90.00 90.00
Last column: nearest neighbours and their distance in Å.
Space group Cmcm (No. 63)
Symmetry-distinct sites (fractional):
Ba: 0.0000 0.1905 0.0447 x8  1 O 2.55, 1 N 2.61
Ba: 0.2229 0.4782 0.2500 x8  1 O 2.60, 1 N 2.75
N: 0.0000 0.0257 0.2500 x4  4 Ba 2.61-2.75
O: 0.0000 0.3467 0.2500 x4  4 Ba 2.55-2.60

No. 9
Here is an optimized crystal structure of Ba6NO2 from Alexandria via LeMat-Bulk. Energies are from PBE.

ΔE_f (raw)   -1.20 eV/atom
Calculated volume   43.59 Å³/atom

abc: 7.3940 15.3039 13.8691
angles: 90.00 90.00 90.00
Last column: nearest neighbours and their distance in Å.
Space group Ibam (No. 72)
Symmetry-distinct sites (fractional):
Ba: 0.2143 0.1011 0.1572 x16  1 N 2.56, 1 O 2.62
Ba: 0.2484 0.1752 0.5000 x8  2 O 2.52-2.57
N: 0.0000 0.0000 0.2500 x4  4 Ba 2.56
O: 0.0928 0.1757 0.0000 x8  4 Ba 2.52-2.62

No. 10
Here is an optimized crystal structure of Ba12N5O3 from Alexandria via LeMat-Bulk. Energies are from PBE.

ΔE_f (raw)   -0.71 eV/atom
Calculated volume   28.87 Å³/atom

abc: 16.6535 16.6535 16.6535
angles: 90.00 90.00 90.00
Last column: nearest neighbours and their distance in Å.
Space group Ia-3d (No. 230)
Symmetry-distinct sites (fractional):
Ba: 0.0217 0.0587 0.6546 x96  2 N 2.54-2.78
N: 0.0000 0.0000 0.0000 x16  6 Ba 2.78
N: 0.0000 0.2500 0.3750 x24  4 Ba 2.54
O: 0.0000 0.2500 0.1250 x24  8 Ba 3.07-3.24

No. 11
Here is an optimized crystal structure of BaN2O from Alexandria via LeMat-Bulk. Energies are from PBE.

ΔE_f (raw)   0.69 eV/atom
Calculated volume   14.75 Å³/atom

abc: 3.7676 3.7676 16.6228
angles: 90.00 90.00 90.00
Last column: nearest neighbours and their distance in Å.
Space group I4_1/amd (No. 141, origin choice 2)
Symmetry-distinct sites (fractional):
Ba: 0.0000 0.2500 0.3750 x4  4 O 2.66, 8 N 2.96
N: 0.0000 0.0000 0.0000 x8  2 N 1.88
O: 0.0000 0.2500 0.8750 x4  4 N 2.28

No. 12
Here is an optimized crystal structure of BaOsN2O from Alexandria via LeMat-Bulk. Energies are from PBE.

ΔE_f (raw)   2.64 eV/atom
Calculated volume   18.66 Å³/atom

abc: 4.6209 4.6209 4.3689
angles: 90.00 90.00 90.00
Last column: nearest neighbours and their distance in Å.
Space group P4/mmm (No. 123)
Symmetry-distinct sites (fractional):
Ba: 0.0000 0.0000 0.0000 x1  2 O 2.18, 4 N 2.31
Os: 0.5000 0.5000 0.5000 x1  8 N 3.18, 4 O 3.27
N: 0.0000 0.5000 0.0000 x2  2 Ba 2.31
O: 0.0000 0.0000 0.5000 x1  2 Ba 2.18

No. 13
Here is an optimized crystal structure of BaOsNO2 from Alexandria via LeMat-Bulk. Energies are from PBE.

ΔE_f (raw)   1.85 eV/atom
Calculated volume   19.74 Å³/atom

abc: 4.5610 4.5610 4.7453
angles: 90.00 90.00 90.00
Last column: nearest neighbours and their distance in Å.
Space group P4/mmm (No. 123)
Symmetry-distinct sites (fractional):
Ba: 0.0000 0.0000 0.0000 x1  4 O 2.28, 2 N 2.37
Os: 0.5000 0.5000 0.5000 x1  4 N 3.23, 8 O 3.29
N: 0.0000 0.0000 0.5000 x1  2 Ba 2.37
O: 0.0000 0.5000 0.0000 x2  2 Ba 2.28

No. 14
Here is an optimized crystal structure of BaOsN2O from Alexandria via LeMat-Bulk. Energies are from PBE.

ΔE_f (raw)   -0.56 eV/atom
Calculated volume   13.36 Å³/atom

abc: 3.9162 3.9162 4.3548
angles: 90.00 90.00 90.00
Last column: nearest neighbours and their distance in Å.
Space group P4/mmm (No. 123)
Symmetry-distinct sites (fractional):
Ba: 0.0000 0.0000 0.0000 x1  4 O 2.77, 8 N 2.93
Os: 0.5000 0.5000 0.5000 x1  4 N 1.96, 2 O 2.18
N: 0.0000 0.5000 0.5000 x2  2 Os 1.96
O: 0.5000 0.5000 0.0000 x1  2 Os 2.18

No. 15
Here is an optimized crystal structure of BaOsNO2 from Alexandria via LeMat-Bulk. Energies are from PBE.

ΔE_f (raw)   -1.14 eV/atom
Calculated volume   13.31 Å³/atom

abc: 4.1493 4.1493 3.8654
angles: 90.00 90.00 90.00
Last column: nearest neighbours and their distance in Å.
Space group P4/mmm (No. 123)
Symmetry-distinct sites (fractional):
Ba: 0.0000 0.0000 0.0000 x1  8 O 2.84, 4 N 2.93
Os: 0.5000 0.5000 0.5000 x1  2 N 1.93, 4 O 2.07
N: 0.5000 0.5000 0.0000 x1  2 Os 1.93
O: 0.0000 0.5000 0.5000 x2  2 Os 2.07

No. 16
Here is an optimized crystal structure of Ba6Os2N6O from Alexandria via LeMat-Bulk. Energies are from PBE.

ΔE_f (raw)   -0.76 eV/atom
Calculated volume   22.44 Å³/atom

abc: 8.1524 8.1524 17.5450
angles: 90.00 90.00 120.00
Last column: nearest neighbours and their distance in Å.
Space group R-3 (No. 148, hexagonal axes)
Symmetry-distinct sites (fractional):
Ba: 0.0149 0.5837 0.2487 x18  1 O 2.74, 4 N 2.87-3.01
Os: 0.0000 0.0000 0.2512 x6  3 N 1.84
N: 0.0065 0.7782 0.7483 x18  1 Os 1.84
O: 0.0000 0.0000 0.5000 x3  6 Ba 2.74

No. 17
Here is an optimized crystal structure of BaPNO2 from Alexandria via LeMat-Bulk. Energies are from PBE.

ΔE_f (raw)   1.29 eV/atom
Calculated volume   30.74 Å³/atom

abc: 4.4770 4.4770 7.6693
angles: 90.00 90.00 90.00
Last column: nearest neighbours and their distance in Å.
Space group P4/mmm (No. 123)
Symmetry-distinct sites (fractional):
Ba: 0.0000 0.0000 0.0000 x1  4 O 2.24
P: 0.0000 0.0000 0.5000 x1  4 N 3.17
N: 0.5000 0.5000 0.5000 x1  4 P 3.17
O: 0.0000 0.5000 0.0000 x2  2 Ba 2.24

No. 18
Here is an optimized crystal structure of BaPNO2 from Alexandria via LeMat-Bulk. Energies are from PBE.

ΔE_f (raw)   -0.04 eV/atom
Calculated volume   14.79 Å³/atom

abc: 4.6145 4.6145 3.4731
angles: 90.00 90.00 90.00
Last column: nearest neighbours and their distance in Å.
Space group P4/mmm (No. 123)
Symmetry-distinct sites (fractional):
Ba: 0.0000 0.0000 0.0000 x1  8 O 2.89
P: 0.5000 0.5000 0.0000 x1  2 N 1.74
N: 0.5000 0.5000 0.5000 x1  2 P 1.74
O: 0.0000 0.5000 0.5000 x2  2 N 2.31

No. 19
Here is an optimized crystal structure of BaPNO2 from Alexandria via LeMat-Bulk. Energies are from PBE.

ΔE_f (raw)   -1.05 eV/atom
Calculated volume   11.77 Å³/atom

abc: 4.1036 4.1036 3.4947
angles: 90.00 90.00 90.00
Last column: nearest neighbours and their distance in Å.
Space group P4/mmm (No. 123)
Symmetry-distinct sites (fractional):
Ba: 0.0000 0.0000 0.0000 x1  8 O 2.70, 4 N 2.90
P: 0.5000 0.5000 0.5000 x1  2 N 1.75
N: 0.5000 0.5000 0.0000 x1  2 P 1.75
O: 0.0000 0.5000 0.5000 x2  2 P 2.05

No. 20
Here is an optimized crystal structure of BaPNO2 from Alexandria via LeMat-Bulk. Energies are from PBE.

ΔE_f (raw)   1.16 eV/atom
Calculated volume   23.83 Å³/atom

abc: 4.4055 4.4055 6.1387
angles: 90.00 90.00 90.00
Last column: nearest neighbours and their distance in Å.
Space group P4/mmm (No. 123)
Symmetry-distinct sites (fractional):
Ba: 0.0000 0.0000 0.0000 x1  4 O 2.20
P: 0.5000 0.5000 0.5000 x1  4 N 3.12
N: 0.0000 0.0000 0.5000 x1  2 Ba 3.07, 4 P 3.12
O: 0.0000 0.5000 0.0000 x2  2 Ba 2.20